Computed, not measured: crystalline Li6MnFe3P6O24 at its relaxed geometry at the PBE+U level of DFT.

Output
calculated total energy	-272.474	eV/cell
crystal system	triclinic
magnetic moment	19.00	μB/cell

Unit cell a=8.539 b=8.549 c=8.695 alpha=91.30 beta=118.68 gamma=118.82
Space group P1 (No. 1)
One atom of each set of equivalent atoms:
Li (0.000, 0.000, 0.000) (multiplicity 1)
Li (0.005, 0.847, 0.619) (multiplicity 1)
Li (0.116, 0.291, 0.694) (multiplicity 1)
Li (0.246, 0.610, 0.364) (multiplicity 1)
Li (0.758, 0.239, 0.253) (multiplicity 1)
Li (0.891, 0.562, 0.932) (multiplicity 1)
Mn (0.710, 0.069, 0.669) (multiplicity 1)
Fe (0.281, 0.279, 0.450) (multiplicity 1)
Fe (0.290, 0.776, 0.953) (multiplicity 1)
Fe (0.718, 0.567, 0.170) (multiplicity 1)
P (0.197, 0.877, 0.254) (multiplicity 1)
P (0.217, 0.403, 0.073) (multiplicity 1)
P (0.477, 0.169, 0.833) (multiplicity 1)
P (0.523, 0.676, 0.785) (multiplicity 1)
P (0.788, 0.443, 0.551) (multiplicity 1)
P (0.795, 0.966, 0.363) (multiplicity 1)
O (0.015, 0.671, 0.219) (multiplicity 1)
O (0.070, 0.218, 0.908) (multiplicity 1)
O (0.154, 0.027, 0.282) (multiplicity 1)
O (0.159, 0.549, 0.020) (multiplicity 1)
O (0.179, 0.364, 0.230) (multiplicity 1)
O (0.182, 0.876, 0.067) (multiplicity 1)
O (0.323, 0.962, 0.813) (multiplicity 1)
O (0.329, 0.222, 0.690) (multiplicity 1)
O (0.356, 0.648, 0.826) (multiplicity 1)
O (0.390, 0.547, 0.582) (multiplicity 1)
O (0.402, 0.905, 0.417) (multiplicity 1)
O (0.451, 0.489, 0.140) (multiplicity 1)
O (0.560, 0.368, 0.496) (multiplicity 1)
O (0.588, 0.935, 0.194) (multiplicity 1)
O (0.608, 0.299, 0.034) (multiplicity 1)
O (0.649, 0.197, 0.798) (multiplicity 1)
O (0.672, 0.623, 0.927) (multiplicity 1)
O (0.679, 0.884, 0.806) (multiplicity 1)
O (0.801, 0.961, 0.547) (multiplicity 1)
O (0.819, 0.477, 0.391) (multiplicity 1)
O (0.841, 0.292, 0.601) (multiplicity 1)
O (0.845, 0.820, 0.341) (multiplicity 1)
O (0.949, 0.631, 0.718) (multiplicity 1)
O (0.976, 0.172, 0.402) (multiplicity 1)